A plane-wave DFT calculation with PBE was carried out for an optimized crystal structure of MgSi2Sn2. Values from VASP.

## Properties
Formation energy (no corrections) ... 0.166 eV/atom
M_tot ... 0.0 μB/f.u.

Cell and atoms, written as Quantum ESPRESSO input:
```
&SYSTEM
  ibrav = 0, nat = 5, ntyp = 3
/
ATOMIC_SPECIES
Si 28.09 Si.upf
Mg 24.30 Mg.upf
Sn 118.71 Sn.upf
CELL_PARAMETERS angstrom
3.646 0.000 0.001
0.000 4.002 0.000
-1.741 0.000 7.667
ATOMIC_POSITIONS angstrom
Si 1.927 0.000 3.052
Si 0.106 0.000 4.590
Mg 1.930 2.001 5.413
Sn 0.100 0.000 7.361
Sn -0.003 2.001 1.644
```